Compound: ZnTc2Pt
Source: Alexandria via LeMat-Bulk
Functional: PBE
Structure: optimized geometry

Output
Total DFT energy (no corrections), hartree per atom: -0.2565
DOS at the Fermi energy, states/eV per cell: 4.4
Crystal system: orthorhombic
SG: Cmmm

a = 4.972 Å, b = 4.972 Å, c = 2.709 Å
α = 90.00°, β = 90.00°, γ = 118.35°
Sites, in units of the cell vectors:
Pt (0.000, 0.500, 0.500)
Tc (0.000, 0.000, 0.000)
Tc (0.500, 0.500, 0.000)
Zn (0.500, 0.000, 0.500)

Compound: ZnTcPt2
Source: Alexandria via LeMat-Bulk
Functional: PBE
Structure: optimized geometry

Output
Total DFT energy (no corrections), hartree per atom: -0.2265
DOS at the Fermi energy, states/eV per cell: 2.8
Crystal system: orthorhombic
SG: Cmmm

a = 4.791 Å, b = 6.166 Å, c = 2.753 Å
α = 63.43°, β = 90.03°, γ = 121.00°
Sites, in units of the cell vectors:
Zn (0.500, 0.000, 0.500)
Pt (0.000, 0.000, 0.000)
Pt (0.000, 0.500, 0.500)
Tc (0.500, 0.500, 0.000)

Compound: ZnTcPt
Source: Alexandria via LeMat-Bulk
Functional: PBE
Structure: optimized geometry

Output
Total DFT energy (no corrections), hartree per atom: -0.2217
DOS at the Fermi energy, states/eV per cell: 3.8
Crystal system: tetragonal
SG: I4mm

a = 6.119 Å, b = 6.118 Å, c = 2.764 Å
α = 76.95°, β = 76.95°, γ = 26.11°
Sites, in units of the cell vectors:
Pt (0.997, 0.997, 0.003)
Tc (0.336, 0.336, 0.664)
Zn (0.667, 0.667, 0.333)

Compound: Zn4TcPt
Source: Alexandria via LeMat-Bulk
Functional: PBE
Structure: optimized geometry

Output
Total DFT energy (no corrections), hartree per atom: -0.1301
DOS at the Fermi energy, states/eV per cell: 3.4
Crystal system: cubic
SG: F-43m

a = 4.930 Å, b = 4.930 Å, c = 4.930 Å
α = 60.00°, β = 60.00°, γ = 60.00°
Sites, in units of the cell vectors:
Zn (0.625, 0.124, 0.625)
Zn (0.625, 0.625, 0.124)
Zn (0.625, 0.625, 0.625)
Zn (0.124, 0.625, 0.625)
Tc (0.000, 0.000, 0.000)
Pt (0.250, 0.250, 0.250)

Compound: ZnTcPt
Source: Alexandria via LeMat-Bulk
Functional: PBE
Structure: optimized geometry

Output
Total DFT energy (no corrections), hartree per atom: -0.2198
DOS at the Fermi energy, states/eV per cell: 3.1
Crystal system: trigonal
SG: P3m1

a = 2.774 Å, b = 2.774 Å, c = 6.662 Å
α = 90.00°, β = 90.00°, γ = 120.00°
Sites, in units of the cell vectors:
Tc (0.667, 0.333, 0.332)
Zn (0.333, 0.667, 0.667)
Pt (0.000, 0.000, 0.001)

Compound: ZnTcPt3
Source: Alexandria via LeMat-Bulk
Functional: PBE
Structure: optimized geometry

Output
Total DFT energy (no corrections), hartree per atom: -0.1755
DOS at the Fermi energy, states/eV per cell: 6.5
Crystal system: cubic
SG: Pm-3m

a = 4.805 Å, b = 4.805 Å, c = 4.805 Å
α = 90.00°, β = 90.00°, γ = 90.00°
Sites, in units of the cell vectors:
Pt (0.000, 0.000, 0.500)
Pt (0.000, 0.500, 0.000)
Pt (0.500, 0.000, 0.000)
Tc (0.000, 0.000, 0.000)
Zn (0.500, 0.500, 0.500)

Compound: ZnTcPt2
Source: Alexandria via LeMat-Bulk
Functional: PBE
Structure: optimized geometry

Output
Total DFT energy (no corrections), hartree per atom: -0.2227
DOS at the Fermi energy, states/eV per cell: 3.2
Crystal system: tetragonal
SG: I-4m2

a = 4.735 Å, b = 4.735 Å, c = 4.735 Å
α = 130.75°, β = 130.75°, γ = 72.21°
Sites, in units of the cell vectors:
Pt (0.000, 0.000, 0.000)
Pt (0.250, 0.750, 0.500)
Tc (0.500, 0.500, 0.000)
Zn (0.750, 0.250, 0.500)

Compound: ZnTcPt2
Source: Alexandria via LeMat-Bulk
Functional: PBE
Structure: optimized geometry

Output
Total DFT energy (no corrections), hartree per atom: -0.2266
DOS at the Fermi energy, states/eV per cell: 3.1
Crystal system: orthorhombic
SG: Pmmm

a = 2.770 Å, b = 3.937 Å, c = 5.463 Å
α = 90.00°, β = 90.00°, γ = 90.00°
Sites, in units of the cell vectors:
Tc (0.500, 0.500, 0.250)
Pt (0.000, 0.000, 0.003)
Pt (0.000, 0.000, 0.497)
Zn (0.500, 0.500, 0.750)

Compound: ZnTcPt2
Source: Alexandria via LeMat-Bulk
Functional: PBE
Structure: optimized geometry

Output
Total DFT energy (no corrections), hartree per atom: -0.2264
DOS at the Fermi energy, states/eV per cell: 3.0
Crystal system: monoclinic
SG: Cm

a = 4.759 Å, b = 4.759 Å, c = 4.845 Å
α = 81.67°, β = 81.67°, γ = 33.50°
Sites, in units of the cell vectors:
Pt (0.753, 0.753, 0.720)
Pt (0.998, 0.998, 0.026)
Zn (0.250, 0.250, 0.229)
Tc (0.498, 0.498, 0.525)

Compound: ZnTc2Pt
Source: Alexandria via LeMat-Bulk
Functional: PBE
Structure: optimized geometry

Output
Total DFT energy (no corrections), hartree per atom: -0.2602
DOS at the Fermi energy, states/eV per cell: 3.6
Crystal system: monoclinic
SG: Cm

a = 4.691 Å, b = 4.691 Å, c = 4.900 Å
α = 82.61°, β = 82.61°, γ = 33.48°
Sites, in units of the cell vectors:
Pt (0.747, 0.747, 0.725)
Tc (0.007, 0.007, 0.031)
Tc (0.250, 0.250, 0.227)
Zn (0.496, 0.496, 0.517)

Compound: ZnTcPt2
Source: Alexandria via LeMat-Bulk
Functional: PBE
Structure: optimized geometry

Output
Total DFT energy (no corrections), hartree per atom: -0.2174
DOS at the Fermi energy, states/eV per cell: 3.5
Crystal system: orthorhombic
SG: Pmmm

a = 2.743 Å, b = 4.743 Å, c = 4.689 Å
α = 90.00°, β = 90.00°, γ = 90.00°
Sites, in units of the cell vectors:
Pt (0.500, 0.500, 0.000)
Pt (0.000, 0.000, 0.000)
Tc (0.500, 0.000, 0.500)
Zn (0.000, 0.500, 0.500)

Compound: ZnTc2Pt
Source: Alexandria via LeMat-Bulk
Functional: PBE
Structure: optimized geometry

Output
Total DFT energy (no corrections), hartree per atom: -0.2615
DOS at the Fermi energy, states/eV per cell: 3.6
Crystal system: monoclinic
SG: Pm

a = 3.851 Å, b = 2.774 Å, c = 5.522 Å
α = 91.19°, β = 90.00°, γ = 90.00°
Sites, in units of the cell vectors:
Tc (0.500, 0.345, 0.236)
Tc (0.000, 0.904, 0.023)
Pt (0.500, 0.381, 0.734)
Zn (0.000, 0.870, 0.507)